No. 1
Compound: LiDyPt
Source: Alexandria via LeMat-Bulk
Functional: PBE-GGA
Structure: relaxed

CIF file:
```
data_LiDyPt
_chemical_formula_sum 'Li1 Dy1 Pt1'
_cell_length_a 4.2843
_cell_length_b 4.2843
_cell_length_c 3.6769
_cell_angle_alpha 90.00
_cell_angle_beta 90.00
_cell_angle_gamma 120.00
_space_group_name_H-M_alt 'P -6 m 2'
_space_group_IT_number 187
_space_group_name_Hall 'P -6 2'
loop_
_atom_site_label
_atom_site_fract_x
_atom_site_fract_y
_atom_site_fract_z
Li1 0.0000 0.0000 0.0000
Dy1 0.6667 0.3333 0.5000
Pt1 0.3333 0.6667 0.0000
```

Summary:
As for the energy of formation: -0.7541 eV/atom. The total energy is -4.94 eV per atom. The offset from the most stable computed form is 134 meV/atom. The density of states at the Fermi level comes out at 0.5283 states/eV/atom. The magnetic moment comes out at 0.000 μB per formula unit.

No. 2
Compound: LiDy4Pt
Source: Alexandria via LeMat-Bulk
Functional: PBE-GGA
Structure: relaxed

CIF file:
```
data_LiDy4Pt
_chemical_formula_sum 'Li4 Dy16 Pt4'
_cell_length_a 10.151
_cell_length_b 10.151
_cell_length_c 7.259
_cell_angle_alpha 90.00
_cell_angle_beta 90.00
_cell_angle_gamma 90.00
_space_group_name_H-M_alt 'I 41 m d'
_space_group_IT_number 109
_space_group_name_Hall 'I 4bw -2'
loop_
_atom_site_label
_atom_site_fract_x
_atom_site_fract_y
_atom_site_fract_z
Li1 0.000 0.000 0.000
Dy1 0.000 0.261 0.436
Dy2 0.000 0.309 0.926
Pt1 0.000 0.000 0.389
```

Summary:
As for the energy of formation: -0.1089 eV/atom. The total energy is -4.50 eV per atom. The density of states at the Fermi level comes out at 1.3547 states/eV/atom. The magnetic moment comes out at 0.000 μB per formula unit.

No. 3
Compound: LiDy2Pt9
Source: Alexandria via LeMat-Bulk
Functional: PBE-GGA
Structure: relaxed

CIF file:
```
data_LiDy2Pt9
_chemical_formula_sum 'Li1 Dy2 Pt9'
_cell_length_a 4.069
_cell_length_b 4.069
_cell_length_c 12.012
_cell_angle_alpha 90.00
_cell_angle_beta 90.00
_cell_angle_gamma 90.00
_space_group_name_H-M_alt 'P 4/m m m'
_space_group_IT_number 123
_space_group_name_Hall '-P 4 2'
loop_
_atom_site_label
_atom_site_fract_x
_atom_site_fract_y
_atom_site_fract_z
Li1 0.000 0.000 0.000
Dy1 0.000 0.000 0.325
Pt1 0.000 0.500 0.151
Pt2 0.000 0.500 0.500
Pt3 0.500 0.500 0.000
Pt4 0.500 0.500 0.327
```

Summary:
As for the energy of formation: -0.7984 eV/atom. The total energy is -6.26 eV per atom. The density of states at the Fermi level comes out at 1.1287 states/eV/atom. The magnetic moment comes out at 0.000 μB per formula unit.

No. 4
Compound: Li3DyPt2
Source: Alexandria via LeMat-Bulk
Functional: PBE-GGA
Structure: relaxed

CIF file:
```
data_Li3DyPt2
_chemical_formula_sum 'Li12 Dy4 Pt8'
_cell_length_a 13.533
_cell_length_b 4.111
_cell_length_c 8.402
_cell_angle_alpha 90.00
_cell_angle_beta 119.44
_cell_angle_gamma 90.00
_space_group_name_H-M_alt 'C 1 2/m 1'
_space_group_IT_number 12
loop_
_space_group_symop_operation_xyz
'x,y,z'
'-x,-y,-z'
'-x,y,-z'
'x,-y,z'
'x+1/2,y+1/2,z'
'-x+1/2,-y+1/2,-z'
'-x+1/2,y+1/2,-z'
'x+1/2,-y+1/2,z'
loop_
_atom_site_label
_atom_site_fract_x
_atom_site_fract_y
_atom_site_fract_z
Li1 0.058 0.000 0.394
Li2 0.082 0.500 0.691
Li3 0.223 0.500 0.554
Dy1 0.135 0.000 0.016
Pt1 0.064 0.500 0.192
Pt2 0.208 0.000 0.744
```

Summary:
As for the energy of formation: -0.7040 eV/atom. The total energy is -4.44 eV per atom. The density of states at the Fermi level comes out at 0.3144 states/eV/atom. The magnetic moment comes out at 0.000 μB per formula unit.

No. 5
Compound: LiDy2Pt
Source: Alexandria via LeMat-Bulk
Functional: PBE-GGA
Structure: relaxed

CIF file:
```
data_LiDy2Pt
_chemical_formula_sum 'Li4 Dy8 Pt4'
_cell_length_a 7.039
_cell_length_b 7.039
_cell_length_c 7.039
_cell_angle_alpha 90.00
_cell_angle_beta 90.00
_cell_angle_gamma 90.00
_space_group_name_H-M_alt 'F m -3 m'
_space_group_IT_number 225
_space_group_name_Hall '-F 4 2 3'
loop_
_atom_site_label
_atom_site_fract_x
_atom_site_fract_y
_atom_site_fract_z
Li1 0.000 0.000 0.000
Dy1 0.250 0.250 0.250
Pt1 0.000 0.000 0.500
```

Summary:
As for the energy of formation: -0.6674 eV/atom. The total energy is -4.96 eV per atom. The density of states at the Fermi level comes out at 1.0932 states/eV/atom. The magnetic moment comes out at 0.000 μB per formula unit.

No. 6
Compound: Li2Dy2Pt15
Source: Alexandria via LeMat-Bulk
Functional: PBE-GGA
Structure: relaxed

CIF file:
```
data_Li2Dy2Pt15
_chemical_formula_sum 'Li6 Dy6 Pt45'
_cell_length_a 9.2127
_cell_length_b 9.2127
_cell_length_c 13.5104
_cell_angle_alpha 90.00
_cell_angle_beta 90.00
_cell_angle_gamma 120.00
_space_group_name_H-M_alt 'R -3 m'
_space_group_IT_number 166
_space_group_name_Hall '-R 3 2"'
loop_
_atom_site_label
_atom_site_fract_x
_atom_site_fract_y
_atom_site_fract_z
Li1 0.0000 0.0000 0.0967
Dy1 0.0000 0.0000 0.3498
Pt1 0.0000 0.3233 0.0000
Pt2 0.0000 0.5000 0.5000
Pt3 0.0023 0.5012 0.1624
```

Summary:
As for the energy of formation: -0.5676 eV/atom. The total energy is -6.02 eV per atom. The density of states at the Fermi level comes out at 0.7793 states/eV/atom. The magnetic moment comes out at 0.000 μB per formula unit.

Q: What is the magnetic moment in the fifth record?
A: 0.000 μB per formula unit